Record 1
CeHg2Bi | PBE | optimized geometry

## Properties
**Space-group type**: R-3m
**Formation energy from the elements**: 0.1456 eV per atom
**Magnetization**: 1.4 μB/cell
**Mass density**: 10.331 Mg/m³
**Calculated total energy**: -2.459 eV/atom

Cell: 12.1643 12.1643 12.1643 Å, 16.09 16.09 16.09°
Fractional positions:
Ce 0.0000 0.0000 0.0000
Hg 0.0873 0.0873 0.0873
Hg 0.9127 0.9127 0.9127
Bi 0.5000 0.5000 0.5000

Record 2
CsAu2 | PBE | optimized geometry

## Properties
**Space-group type**: C2/m
**Formation energy from the elements**: -0.1679 eV per atom
**Magnetization**: 0.0 μB/cell
**Mass density**: 6.868 Mg/m³
**Calculated total energy**: -2.637 eV/atom

Cell: 5.3316 5.3316 5.2866 Å, 112.97 112.97 81.62°
Fractional positions:
Cs 0.0000 0.0000 0.0000
Au 0.4857 0.4857 0.7387
Au 0.5143 0.5143 0.2613